# 1
CsWOF2: relaxed, GGA-PBEsol.

Lattice parameters (Å, degrees): 5.046 5.046 4.353 90.00 90.00 90.00
Element x y z (fractional)
1 Cs 0.000 0.000 0.000
2 W 0.500 0.500 0.500
3 O 0.000 0.000 0.500
4 F 0.000 0.500 0.000
5 F 0.500 0.000 0.000

* final energy: -19.74 eV per cell
* crystal system: tetragonal

***

# 2
ScTl2: relaxed, GGA-PBEsol.

Lattice parameters (Å, degrees): 4.943 4.943 3.342 90.00 90.00 90.00
Element x y z (fractional)
1 Sc 0.000 0.000 0.000
2 Tl 0.000 0.500 0.500
3 Tl 0.500 0.000 0.500

* E_form: -0.152 eV per atom
* crystal system: tetragonal

***

# 3
Be2CrAg: relaxed, GGA-PBEsol.

Lattice parameters (Å, degrees): 4.072 4.072 4.072 60.00 60.00 60.00
Element x y z (fractional)
1 Be 0.000 0.000 0.000
2 Be 0.250 0.250 0.250
3 Cr 0.750 0.750 0.750
4 Ag 0.500 0.500 0.500

* E_form: 0.435 eV per atom
* crystal system: cubic

***

# 4
PbSe3: relaxed, GGA-PBEsol.

Lattice parameters (Å, degrees): 6.490 6.490 4.145 108.52 108.52 37.23
Element x y z (fractional)
1 Pb 0.000 0.000 0.000
2 Se 0.254 0.254 0.254
3 Se 0.500 0.500 0.500
4 Se 0.746 0.746 0.746

* final energy: -15.93 eV per cell
* crystal system: monoclinic

***

# 5
RbMn3B: relaxed, GGA-PBEsol.

Lattice parameters (Å, degrees): 4.224 4.224 4.224 90.00 90.00 90.00
Element x y z (fractional)
1 Rb 0.000 0.000 0.000
2 Mn 0.000 0.500 0.500
3 Mn 0.500 0.000 0.500
4 Mn 0.500 0.500 0.000
5 B 0.500 0.500 0.500

* E_form: 1.045 eV per atom
* crystal system: cubic

***

# 6
SiP2PbO: relaxed, GGA-PBEsol.

Lattice parameters (Å, degrees): 5.140 5.140 4.054 90.00 90.00 90.00
Element x y z (fractional)
1 Si 0.000 0.000 0.000
2 P 0.000 0.500 0.500
3 P 0.500 0.000 0.500
4 Pb 0.500 0.500 0.500
5 O 0.500 0.500 0.000

* final energy: -21.42 eV per cell
* crystal system: tetragonal

***

# 7
AlFe2Sb: relaxed, GGA-PBEsol.

Lattice parameters (Å, degrees): 4.135 4.135 3.022 90.00 90.00 90.00
Element x y z (fractional)
1 Al 0.000 0.000 0.000
2 Fe 0.000 0.500 0.500
3 Fe 0.500 0.000 0.500
4 Sb 0.500 0.500 0.000

* final energy: -26.75 eV per cell
* crystal system: tetragonal

***

# 8
LaBe4Mo: relaxed, GGA-PBEsol.

Lattice parameters (Å, degrees): 4.793 4.793 4.793 60.00 60.00 60.00
Element x y z (fractional)
1 La 0.000 0.000 0.000
2 Be 0.136 0.621 0.621
3 Be 0.621 0.136 0.621
4 Be 0.621 0.621 0.136
5 Be 0.621 0.621 0.621
6 Mo 0.250 0.250 0.250

* E_form: 0.267 eV per atom
* crystal system: cubic

***

# 9
Ca10P6SeO24: relaxed, GGA-PBEsol.

Lattice parameters (Å, degrees): 9.469 9.469 6.812 90.00 90.00 120.00
Element x y z (fractional)
1 Ca 0.013 0.262 0.250
2 Ca 0.249 0.987 0.250
3 Ca 0.262 0.249 0.750
4 Ca 0.333 0.667 0.020
5 Ca 0.333 0.667 0.513
6 Ca 0.667 0.333 0.487
7 Ca 0.667 0.333 0.980
8 Ca 0.738 0.751 0.250
9 Ca 0.751 0.013 0.750
10 Ca 0.987 0.738 0.750
11 P 0.029 0.400 0.751
12 P 0.371 0.971 0.751
13 P 0.400 0.371 0.249
14 P 0.600 0.629 0.751
15 P 0.629 0.029 0.249
16 P 0.971 0.600 0.249
17 Se 0.000 0.000 0.500
18 O 0.070 0.305 0.905
19 O 0.100 0.390 0.551
20 O 0.116 0.585 0.802
21 O 0.159 0.675 0.255
22 O 0.235 0.930 0.905
23 O 0.290 0.900 0.551
24 O 0.305 0.235 0.095
25 O 0.325 0.484 0.255
26 O 0.390 0.290 0.449
27 O 0.415 0.531 0.802
28 O 0.469 0.884 0.802
29 O 0.484 0.159 0.745
30 O 0.516 0.841 0.255
31 O 0.531 0.116 0.198
32 O 0.585 0.469 0.198
33 O 0.610 0.710 0.551
34 O 0.675 0.516 0.745
35 O 0.695 0.765 0.905
36 O 0.710 0.100 0.449
37 O 0.765 0.070 0.095
38 O 0.841 0.325 0.745
39 O 0.884 0.415 0.198
40 O 0.900 0.610 0.449
41 O 0.930 0.695 0.095

* final energy: -304.88 eV per cell
* crystal system: trigonal

***

# 10
BaMg3Tl: relaxed, GGA-PBEsol.

Lattice parameters (Å, degrees): 6.310 6.310 6.310 90.00 90.00 90.00
Element x y z (fractional)
1 Ba 0.000 0.000 0.000
2 Mg 0.000 0.000 0.500
3 Mg 0.000 0.500 0.000
4 Mg 0.500 0.000 0.000
5 Tl 0.500 0.500 0.500

* E_form: 1.010 eV per atom
* crystal system: cubic

***

# 11
Mo2O: relaxed, GGA-PBEsol.

Lattice parameters (Å, degrees): 3.777 3.777 3.777 60.00 60.00 60.00
Element x y z (fractional)
1 Mo 0.250 0.250 0.250
2 Mo 0.750 0.750 0.750
3 O 0.000 0.000 0.000

* final energy: -27.02 eV per cell
* crystal system: cubic

***

# 12
CdPt2W: relaxed, GGA-PBEsol.

Lattice parameters (Å, degrees): 4.875 4.875 4.875 131.70 131.70 70.70
Element x y z (fractional)
1 Cd 0.000 0.000 0.000
2 Pt 0.500 0.500 0.000
3 Pt 0.750 0.250 0.500
4 W 0.250 0.750 0.500

* E_form: 0.119 eV per atom
* crystal system: tetragonal

***

# 13
InCuTe2: relaxed, GGA-PBEsol.

Lattice parameters (Å, degrees): 4.380 4.380 6.169 90.00 90.00 90.00
Element x y z (fractional)
1 In 0.000 0.000 0.000
2 Cu 0.500 0.500 0.500
3 Te 0.000 0.500 0.286
4 Te 0.500 0.000 0.714

* final energy: -15.24 eV per cell
* crystal system: tetragonal

***

# 14
Hf6Al16Ir7: relaxed, GGA-PBEsol.

Lattice parameters (Å, degrees): 8.715 8.715 8.715 60.00 60.00 60.00
Element x y z (fractional)
1 Hf 0.186 0.186 0.814
2 Hf 0.186 0.814 0.186
3 Hf 0.186 0.814 0.814
4 Hf 0.814 0.186 0.186
5 Hf 0.814 0.186 0.814
6 Hf 0.814 0.814 0.186
7 Al 0.141 0.620 0.620
8 Al 0.162 0.162 0.162
9 Al 0.162 0.162 0.513
10 Al 0.162 0.513 0.162
11 Al 0.380 0.380 0.380
12 Al 0.380 0.380 0.859
13 Al 0.380 0.859 0.380
14 Al 0.487 0.838 0.838
15 Al 0.513 0.162 0.162
16 Al 0.620 0.141 0.620
17 Al 0.620 0.620 0.141
18 Al 0.620 0.620 0.620
19 Al 0.838 0.487 0.838
20 Al 0.838 0.838 0.487
21 Al 0.838 0.838 0.838
22 Al 0.859 0.380 0.380
23 Ir 0.000 0.000 0.500
24 Ir 0.000 0.500 0.000
25 Ir 0.000 0.500 0.500
26 Ir 0.500 0.000 0.000
27 Ir 0.500 0.000 0.500
28 Ir 0.500 0.500 0.000
29 Ir 0.500 0.500 0.500

* E_form: -0.818 eV per atom
* crystal system: cubic

***

# 15
LiCaTc2: relaxed, GGA-PBEsol.

Lattice parameters (Å, degrees): 5.538 5.538 2.620 96.95 96.95 124.23
Element x y z (fractional)
1 Li 0.000 0.000 0.000
2 Ca 0.500 0.500 0.000
3 Tc 0.000 0.500 0.500
4 Tc 0.500 0.000 0.500

* E_form: 0.543 eV per atom
* crystal system: monoclinic

***

# 16
Sc2Co3: relaxed, GGA-PBEsol.

Lattice parameters (Å, degrees): 4.181 4.181 5.025 90.00 90.00 120.00
Element x y z (fractional)
1 Sc 0.333 0.667 0.276
2 Sc 0.667 0.333 0.724
3 Co 0.000 0.000 0.500
4 Co 0.333 0.667 0.781
5 Co 0.667 0.333 0.219

* E_form: 0.326 eV per atom
* crystal system: trigonal

***

# 17
La2SiTc: relaxed, GGA-PBEsol.

Lattice parameters (Å, degrees): 4.030 5.928 5.928 43.21 90.00 90.00
Element x y z (fractional)
1 La 0.000 0.000 0.000
2 La 0.500 0.278 0.278
3 Si 0.000 0.694 0.694
4 Tc 0.500 0.570 0.570

* final energy: -28.99 eV per cell
* crystal system: orthorhombic

***

# 18
LaTlSb: relaxed, GGA-PBEsol.

Lattice parameters (Å, degrees): 5.163 5.163 5.163 60.00 60.00 60.00
Element x y z (fractional)
1 La 0.000 0.000 0.000
2 Tl 0.750 0.750 0.750
3 Sb 0.500 0.500 0.500

* final energy: -13.47 eV per cell
* crystal system: cubic

***

# 19
MnSe2NCl: relaxed, GGA-PBEsol.

Lattice parameters (Å, degrees): 4.861 4.861 3.410 90.00 90.00 90.00
Element x y z (fractional)
1 Mn 0.000 0.000 0.000
2 Se 0.000 0.500 0.000
3 Se 0.500 0.000 0.000
4 N 0.000 0.000 0.500
5 Cl 0.500 0.500 0.500

* final energy: -26.53 eV per cell
* crystal system: tetragonal

***

# 20
PtRh2: relaxed, GGA-PBEsol.

Lattice parameters (Å, degrees): 2.706 2.706 6.612 90.00 90.00 120.00
Element x y z (fractional)
1 Pt 0.000 0.000 0.000
2 Rh 0.333 0.667 0.660
3 Rh 0.667 0.333 0.340

* E_form: -0.003 eV per atom
* crystal system: trigonal